# InGa2HW

A relaxed InGa2HW crystal (PBE, Alexandria).

Computed properties:
Density: 9.9 g/cm³

Lattice parameters (Å, degrees): 4.4331 4.4331 3.7543 90.00 90.00 90.00
With the nearest neighbours (Å) after each atom.
Space group P4/mmm (No. 123)
Inequivalent atoms, fractional coordinates:
In1 0.0000 0.0000 0.0000  2 H 1.88
Ga1 0.0000 0.5000 0.5000  2 H 2.22
H1 0.0000 0.0000 0.5000  2 In 1.88
W1 0.5000 0.5000 0.0000  8 Ga 2.90, 4 In 3.13

---

# CaAc2Ir

A relaxed CaAc2Ir crystal (PBE, Alexandria).

Computed properties:
Calculated formation energy: -0.40 eV/atom
Density: 6.9 g/cm³
Relative energy among the computed polymorphs: 14 meV per atom

Lattice parameters (Å, degrees): 4.3212 4.3212 30.4318 90.00 90.00 120.00
With the nearest neighbours (Å) after each atom.
Space group R-3m (No. 166, hexagonal axes)
Inequivalent atoms, fractional coordinates:
Ca1 0.0000 0.0000 0.0000  6 Ac 4.27, 6 Ca 4.32
Ac1 0.0000 0.0000 0.2195  3 Ir 2.97
Ir1 0.0000 0.0000 0.5000  6 Ac 2.97

---

Number 1: DFT total energy -4.42 eV/atom. Number 2: DFT total energy -5.17 eV/atom.